(1)
Here is crystalline V3RuI at its relaxed geometry from Alexandria via LeMat-Bulk. Energies are from PBE.

## Properties
Magnetization = 5.3 μB per formula unit
Mass density = 5997 kg/m3
Calculated volume = 105 Å³/cell
Energy relative to the lowest polymorph listed for this composition = 0.000 eV per atom
Raw formation energy = 500 kJ/mol of formula units
Crystal system = cubic
Calculated total energy = -6.600 eV per atom

abc: 4.724 4.724 4.724
angles: 90.00 90.00 90.00
Positions (direct):
V 0.000 0.000 0.500
V 0.000 0.500 0.000
V 0.500 0.000 0.000
Ru 0.000 0.000 0.000
I 0.500 0.500 0.500



(2)
Here is crystalline ReOsN2O at its relaxed geometry from Alexandria via LeMat-Bulk. Energies are from PBE.

## Properties
Magnetization = 3.8 μB per formula unit
Mass density = 11862 kg/m3
Calculated volume = 59 Å³/cell
Raw formation energy = 641 kJ/mol of formula units
Crystal system = tetragonal
Calculated total energy = -7.728 eV per atom

abc: 3.916 3.916 3.838
angles: 90.00 90.00 90.00
Positions (direct):
Re 0.000 0.000 0.000
Os 0.500 0.500 0.500
N 0.000 0.500 0.500
N 0.500 0.000 0.500
O 0.500 0.500 0.000



(3)
Here is crystalline Ta2GaNiRh at its relaxed geometry from Alexandria via LeMat-Bulk. Energies are from PBE.

## Properties
Formation energy from the elements = 1270.4 meV/atom
Magnetization = 0.0 μB per formula unit
Mass density = 10138 kg/m3
Calculated volume = 97 Å³/cell
Crystal system = tetragonal
Calculated total energy = -6.703 eV per atom

abc: 4.694 4.694 4.410
angles: 90.00 90.00 90.00
Positions (direct):
Ta 0.000 0.500 0.000
Ta 0.500 0.000 0.000
Ga 0.000 0.000 0.000
Ni 0.500 0.500 0.500
Rh 0.000 0.000 0.500